Record 1
## La2PmTh3Bi6 (GGA-PBE)

Data for a relaxed structure of La2PmTh3Bi6.

## Properties
ΔH_f (0 K) in eV per atom: -0.802
Crystal system: monoclinic

a = 20.1988 Å, b = 4.6255 Å, c = 9.2564 Å
α = 90.00°, β = 103.48°, γ = 90.00°
Closest atoms and distances in Å follow each position.
Space group C2/m (No. 12)
Asymmetric unit:
La  0.1658  0.0000  0.3322 (multiplicity 4)  6 Bi 3.29-3.31
Pm  0.0000  0.5000  0.0000 (multiplicity 2)  6 Bi 3.26-3.27
Th  0.0000  0.5000  0.5000 (multiplicity 2)  6 Bi 3.25-3.27
Th  0.1677  0.0000  0.8344 (multiplicity 4)  6 Bi 3.25-3.27
Bi  0.0019  0.0000  0.7514 (multiplicity 4)  3 Th 3.26-3.27, 2 Pm 3.27, 1 La 3.29
Bi  0.1658  0.5000  0.0797 (multiplicity 4)  3 Th 3.25-3.27, 1 Pm 3.26, 2 La 3.29
Bi  0.1657  0.5000  0.5862 (multiplicity 4)  3 Th 3.25, 3 La 3.30-3.31


Record 2
## Tb3Pm8Sc (GGA-PBE)

Data for a relaxed structure of Tb3Pm8Sc.

## Properties
ΔH_f (0 K) in eV per atom: 0.561
Crystal system: tetragonal

a = 8.6887 Å, b = 8.6887 Å, c = 11.5455 Å
α = 90.00°, β = 90.00°, γ = 90.00°
Closest atoms and distances in Å follow each position.
Space group I-42m (No. 121)
Asymmetric unit:
Tb  0.0000  0.0000  0.0000 (multiplicity 2)  8 Pm 3.22-3.35
Tb  0.0000  0.5000  0.2500 (multiplicity 4)  4 Pm 3.43
Pm  0.1262  0.1262  0.7429 (multiplicity 8)  3 Pm 3.10-3.33, 1 Sc 3.20, 3 Tb 3.35-3.43
Pm  0.2389  0.2389  0.4809 (multiplicity 8)  1 Sc 2.94, 1 Pm 3.21, 1 Tb 3.22
Sc  0.0000  0.0000  0.5000 (multiplicity 2)  8 Pm 2.94-3.20


Record 3
## Al2InCl (GGA-PBE)

Data for a relaxed structure of Al2InCl.

## Properties
E above lowest polymorph in kJ/mol of atoms: 18.2
Crystal system: orthorhombic
Energy relative to the elements, uncorrected in kJ/mol of atoms: -2.3

a = 3.1900 Å, b = 5.5543 Å, c = 9.5292 Å
α = 90.00°, β = 90.00°, γ = 90.00°
Closest atoms and distances in Å follow each position.
Space group Cmmm (No. 65)
Asymmetric unit:
Al  0.0000  0.0000  0.2263 (multiplicity 4)  2 Cl 2.68
In  0.0000  0.5000  0.5000 (multiplicity 2)  4 Al 3.06, 6 In 3.19-3.20
Cl  0.0000  0.5000  0.0000 (multiplicity 2)  4 Al 2.68


Record 4
## Cr2HgSe (GGA-PBE)

Data for a relaxed structure of Cr2HgSe.

## Properties
E above lowest polymorph in kJ/mol of atoms: 5.3
Crystal system: trigonal
Energy relative to the elements, uncorrected in kJ/mol of atoms: 26.0

a = 3.0158 Å, b = 3.0158 Å, c = 26.4941 Å
α = 90.00°, β = 90.00°, γ = 120.00°
Closest atoms and distances in Å follow each position.
Space group R3m (No. 160, hexagonal axes)
Asymmetric unit:
Cr  0.0000  0.0000  0.0000 (multiplicity 3)  3 Cr 2.33
Cr  0.0000  0.0000  0.2751 (multiplicity 3)  3 Cr 2.33, 3 Se 2.50
Hg  0.0000  0.0000  0.7561 (multiplicity 3)  3 Cr 2.94, 6 Hg 3.02
Se  0.0000  0.0000  0.5407 (multiplicity 3)  3 Cr 2.50


Record 5
## MnRu2Pt (GGA-PBE)

Data for a relaxed structure of MnRu2Pt.

## Properties
ΔH_f (0 K) in eV per atom: 0.156
Crystal system: tetragonal

a = 3.2611 Å, b = 3.2611 Å, c = 5.4868 Å
α = 90.00°, β = 90.00°, γ = 90.00°
Closest atoms and distances in Å follow each position.
Space group P4mm (No. 99)
Asymmetric unit:
Mn  0.0000  0.0000  0.0000 (multiplicity 1)  4 Pt 2.65, 6 Ru 2.66-2.83
Ru  0.0000  0.0000  0.5154 (multiplicity 1)  4 Ru 2.61, 2 Mn 2.66-2.83, 4 Pt 2.76
Ru  0.5000  0.5000  0.7386 (multiplicity 1)  4 Ru 2.61, 4 Mn 2.72, 2 Pt 2.74-2.75
Pt  0.5000  0.5000  0.2391 (multiplicity 1)  4 Mn 2.65, 6 Ru 2.74-2.76


Record 6
## Be2InSnN (GGA-PBE)

Data for a relaxed structure of Be2InSnN.

## Properties
Crystal system: tetragonal
Energy relative to the elements, uncorrected in kJ/mol of atoms: 48.5

a = 3.8526 Å, b = 3.8526 Å, c = 5.2616 Å
α = 90.00°, β = 90.00°, γ = 90.00°
Closest atoms and distances in Å follow each position.
Space group P4/mmm (No. 123)
Asymmetric unit:
Be  0.0000  0.5000  0.0000 (multiplicity 2)  2 N 1.93
In  0.0000  0.0000  0.5000 (multiplicity 1)  4 Sn 2.72
Sn  0.5000  0.5000  0.5000 (multiplicity 1)  2 N 2.63, 4 In 2.72
N  0.5000  0.5000  0.0000 (multiplicity 1)  4 Be 1.93


Record 7
## LiCa2PaTe4 (GGA-PBE)

Data for a relaxed structure of LiCa2PaTe4.

## Properties
Crystal system: monoclinic
Energy relative to the elements, uncorrected in kJ/mol of atoms: -115.7

a = 7.7064 Å, b = 4.3723 Å, c = 7.7173 Å
α = 90.00°, β = 108.63°, γ = 90.00°
Closest atoms and distances in Å follow each position.
Space group P2/m (No. 10)
Asymmetric unit:
Li  0.0000  0.0000  0.0000 (multiplicity 1)  6 Te 3.07-3.09
Ca  0.5000  0.0000  0.5000 (multiplicity 1)  6 Te 3.19
Ca  0.5000  0.5000  0.0000 (multiplicity 1)  6 Te 3.15-3.17
Pa  0.0000  0.5000  0.5000 (multiplicity 1)  6 Te 3.09-3.13
Te  0.2388  0.5000  0.2452 (multiplicity 2)  2 Li 3.09, 1 Pa 3.09, 3 Ca 3.17-3.19
Te  0.2441  0.0000  0.7534 (multiplicity 2)  1 Li 3.07, 2 Pa 3.13, 3 Ca 3.15-3.19


no.,size of the total moment (Bohr magnetons per cell)
1,0.00
2,0.00
3,0.00
4,0.26
5,4.30
6,0.00
7,1.80